P:
Entry from Alexandria via LeMat-Bulk: a relaxed InAuIO2 crystal (GGA-PBEsol).

Cell lengths 4.011, 4.011, 6.637 Å; angles 90.00, 90.00, 90.00 degrees
Space group P4/mmm (No. 123)
One atom of each set of equivalent atoms:
In  0.000  0.000  0.000 x1
Au  0.500  0.500  0.500 x1
I  0.000  0.000  0.500 x1
O  0.000  0.500  0.000 x2

Output
Volume = 21.36 A^3/atom
Total magnetization = 0.8 μB per cell
Mass density = 7.3 g/cm3



Q:
Entry from Alexandria via LeMat-Bulk: a relaxed InAuIO2 crystal (GGA-PBEsol).

Cell lengths 4.236, 4.236, 5.372 Å; angles 90.00, 90.00, 90.00 degrees
Space group P4/mmm (No. 123)
One atom of each set of equivalent atoms:
In  0.000  0.000  0.000 x1
Au  0.500  0.500  0.500 x1
I  0.500  0.500  0.000 x1
O  0.000  0.500  0.500 x2

Output
Volume = 19.28 A^3/atom
Total magnetization = 0.5 μB per cell
Mass density = 8.1 g/cm3



P is the most stable structure; the next one sits 431 meV per atom above it.